Rb2TbMoO6 | PBE with a Hubbard U | optimized geometry

Cell and atoms, written as CIF:
```
data_Rb2TbMoO6
_symmetry_space_group_name_H-M 'P -3 m 1'
_symmetry_Int_Tables_number 164
_symmetry_space_group_name_Hall '-P 3 2"'
_cell_length_a 6.5713
_cell_length_b 6.5713
_cell_length_c 5.8954
_cell_angle_alpha 90.00
_cell_angle_beta 90.00
_cell_angle_gamma 120.00
loop_
_atom_site_label
_atom_site_type_symbol
_atom_site_fract_x
_atom_site_fract_y
_atom_site_fract_z
Rb1 Rb 0.3333 0.6667 0.1025
Tb1 Tb 0.0000 0.0000 0.5000
Mo1 Mo 0.0000 0.0000 0.0000
O1 O 0.1341 0.2682 0.7936
```

Output
**Mass density**: 3930 kg/m³
**Electronic total energy**: -62.20 eV for the cell shown
**Total magnetization**: 1.05 μB/f.u.